Run a
# VCoH2

A relaxed VCoH2 crystal (PBE, Alexandria via LeMat-Bulk).

abc: 4.903 5.553 4.374
angles: 90.00 90.00 90.00
Space group Pna2_1 (No. 33)
Inequivalent atoms, fractional coordinates:
V: 0.095 0.124 0.000
Co: 0.075 0.619 0.979
H: 0.072 0.621 0.346
H: 0.099 0.136 0.414

=====

Run b
# VCoH2

A relaxed VCoH2 crystal (PBE, Alexandria via LeMat-Bulk).

abc: 5.386 10.757 4.599
angles: 90.00 125.10 90.00
Space group C2/c (No. 15)
Inequivalent atoms, fractional coordinates:
V: 0.000 0.062 0.250
V: 0.000 0.190 0.750
Co: 0.000 0.310 0.250
Co: 0.000 0.434 0.750
H: 0.233 0.437 0.236
H: 0.239 0.315 0.738

=====

Which of them is least stable? Easy: run a.

=====

Run a
# V4CoH5

A relaxed V4CoH5 crystal (PBE, Alexandria via LeMat-Bulk).

abc: 12.890 2.595 5.817
angles: 90.00 113.48 90.00
Space group C2/m (No. 12)
Inequivalent atoms, fractional coordinates:
V: 0.074 0.000 0.222
V: 0.150 0.500 0.918
Co: 0.000 0.500 0.500
H: 0.000 0.500 0.000
H: 0.098 0.000 0.609
H: 0.213 0.000 0.159

=====

Run b
# V4CoH5

A relaxed V4CoH5 crystal (PBE, Alexandria via LeMat-Bulk).

abc: 6.194 6.194 3.799
angles: 90.00 90.00 90.00
Space group I4 (No. 79)
Inequivalent atoms, fractional coordinates:
V: 0.110 0.296 0.000
Co: 0.000 0.000 0.500
H: 0.000 0.000 0.002
H: 0.104 0.317 0.500

=====

Which of them is least stable? Easy: run a.

=====

Run a
# V2CoHW

A relaxed V2CoHW crystal (PBE, Alexandria via LeMat-Bulk).

abc: 3.712 3.712 4.049
angles: 90.00 90.00 90.00
Space group P4/mmm (No. 123)
Inequivalent atoms, fractional coordinates:
V: 0.000 0.500 0.000
Co: 0.000 0.000 0.500
H: 0.500 0.500 0.000
W: 0.500 0.500 0.500

=====

Run b
# V2CoHW

A relaxed V2CoHW crystal (PBE, Alexandria via LeMat-Bulk).

abc: 4.120 4.120 3.255
angles: 90.00 90.00 90.00
Space group P4/mmm (No. 123)
Inequivalent atoms, fractional coordinates:
V: 0.000 0.500 0.000
Co: 0.000 0.000 0.500
H: 0.000 0.000 0.000
W: 0.500 0.500 0.500

=====

Which of them is least stable? Easy: run a.

=====

Run a
# VCo2HW

A relaxed VCo2HW crystal (PBE, Alexandria via LeMat-Bulk).

abc: 3.648 3.648 3.899
angles: 90.00 90.00 90.00
Space group P4/mmm (No. 123)
Inequivalent atoms, fractional coordinates:
V: 0.000 0.000 0.000
Co: 0.000 0.500 0.500
H: 0.500 0.500 0.500
W: 0.500 0.500 0.000

=====

Run b
# VCo2HW

A relaxed VCo2HW crystal (PBE, Alexandria via LeMat-Bulk).

abc: 3.651 3.651 3.842
angles: 90.00 90.00 90.00
Space group P4/mmm (No. 123)
Inequivalent atoms, fractional coordinates:
V: 0.000 0.000 0.000
Co: 0.000 0.500 0.500
H: 0.000 0.000 0.500
W: 0.500 0.500 0.000

=====

Which of them is least stable? Easy: run a.

=====

Run a
# CoHW3

A relaxed CoHW3 crystal (PBE, Alexandria via LeMat-Bulk).

abc: 4.458 4.458 4.458
angles: 90.00 90.00 90.00
Space group Pm-3m (No. 221)
Inequivalent atoms, fractional coordinates:
Co: 0.000 0.000 0.000
H: 0.500 0.500 0.500
W: 0.000 0.000 0.500

=====

Run b
# CoHW3

A relaxed CoHW3 crystal (PBE, Alexandria via LeMat-Bulk).

abc: 3.950 3.950 3.950
angles: 90.00 90.00 90.00
Space group Pm-3m (No. 221)
Inequivalent atoms, fractional coordinates:
Co: 0.000 0.000 0.000
H: 0.500 0.500 0.500
W: 0.000 0.500 0.500

=====

Which of them is least stable? Easy: run a.

=====

Run a
# CoH3W

A relaxed CoH3W crystal (PBE, Alexandria via LeMat-Bulk).

abc: 3.211 3.211 3.211
angles: 90.00 90.00 90.00
Space group Pm-3m (No. 221)
Inequivalent atoms, fractional coordinates:
Co: 0.000 0.000 0.000
H: 0.000 0.000 0.500
W: 0.500 0.500 0.500

=====

Run b
# CoH3W

A relaxed CoH3W crystal (PBE, Alexandria via LeMat-Bulk).

abc: 3.411 3.411 3.411
angles: 90.00 90.00 90.00
Space group Pm-3m (No. 221)
Inequivalent atoms, fractional coordinates:
Co: 0.000 0.000 0.000
H: 0.000 0.500 0.500
W: 0.500 0.500 0.500

=====

Which of them is least stable? Easy: run b.

=====

Run a
# CoH2W2

A relaxed CoH2W2 crystal (PBE, Alexandria via LeMat-Bulk).

abc: 2.873 2.873 11.704
angles: 90.00 90.00 90.00
Space group I4/mmm (No. 139)
Inequivalent atoms, fractional coordinates:
Co: 0.000 0.000 0.000
H: 0.000 0.500 0.250
W: 0.000 0.000 0.359

=====

Run b
# CoH2W2

A relaxed CoH2W2 crystal (PBE, Alexandria via LeMat-Bulk).

abc: 5.885 5.885 2.737
angles: 90.00 90.00 90.00
Space group P4/mbm (No. 127)
Inequivalent atoms, fractional coordinates:
Co: 0.000 0.000 0.000
H: 0.151 0.349 0.000
W: 0.159 0.659 0.500

=====

Which of them is least stable? Easy: run b.

=====

Run a
# Co3HW

A relaxed Co3HW crystal (PBE, Alexandria via LeMat-Bulk).

abc: 3.639 3.639 3.639
angles: 90.00 90.00 90.00
Space group Pm-3m (No. 221)
Inequivalent atoms, fractional coordinates:
Co: 0.000 0.000 0.500
H: 0.000 0.000 0.000
W: 0.500 0.500 0.500

=====

Run b
# Co3HW

A relaxed Co3HW crystal (PBE, Alexandria via LeMat-Bulk).

abc: 4.477 4.477 4.477
angles: 90.00 90.00 90.00
Space group Pm-3m (No. 221)
Inequivalent atoms, fractional coordinates:
Co: 0.000 0.000 0.500
H: 0.500 0.500 0.500
W: 0.000 0.000 0.000

=====

Which of them is least stable? Easy: run b.

=====

Run a
# YCoH2

A relaxed YCoH2 crystal (PBE, Alexandria via LeMat-Bulk).

abc: 5.593 5.593 5.593
angles: 90.00 90.00 90.00
Space group Fm-3m (No. 225)
Inequivalent atoms, fractional coordinates:
Y: 0.000 0.000 0.000
Co: 0.000 0.000 0.500
H: 0.250 0.250 0.250

=====

Run b
# YCoH2

A relaxed YCoH2 crystal (PBE, Alexandria via LeMat-Bulk).

abc: 4.184 4.184 9.779
angles: 90.00 90.00 90.00
Space group I-42d (No. 122)
Inequivalent atoms, fractional coordinates:
Y: 0.000 0.000 0.000
Co: 0.000 0.000 0.500
H: 0.108 0.250 0.625

=====

Which of them is least stable? Easy: run a.

=====

Run a
# Y2CoH2

A relaxed Y2CoH2 crystal (PBE, Alexandria via LeMat-Bulk).

abc: 3.416 3.416 12.513
angles: 90.00 90.00 90.00
Space group I4/mmm (No. 139)
Inequivalent atoms, fractional coordinates:
Y: 0.000 0.000 0.136
Co: 0.000 0.000 0.500
H: 0.000 0.500 0.250

=====

Run b
# Y2CoH2

A relaxed Y2CoH2 crystal (PBE, Alexandria via LeMat-Bulk).

abc: 6.626 6.626 3.194
angles: 90.00 90.00 90.00
Space group P4/mbm (No. 127)
Inequivalent atoms, fractional coordinates:
Y: 0.189 0.311 0.000
Co: 0.000 0.000 0.500
H: 0.121 0.621 0.500

=====

Which of them is least stable? Easy: run b.

=====

Run a
# ZnCo2H

A relaxed ZnCo2H crystal (PBE, Alexandria via LeMat-Bulk).

abc: 4.540 2.627 6.394
angles: 90.00 103.86 90.00
Space group Cm (No. 8)
Inequivalent atoms, fractional coordinates:
Zn: 0.000 0.000 0.000
Co: 0.222 0.000 0.664
Co: 0.446 0.000 0.336
H: 0.334 0.500 0.499

=====

Run b
# ZnCo2H

A relaxed ZnCo2H crystal (PBE, Alexandria via LeMat-Bulk).

abc: 2.496 2.496 6.153
angles: 90.00 90.00 90.00
Space group P4/mmm (No. 123)
Inequivalent atoms, fractional coordinates:
Zn: 0.000 0.000 0.000
Co: 0.500 0.500 0.317
H: 0.000 0.000 0.500

=====

Run c
# ZnCo2H

A relaxed ZnCo2H crystal (PBE, Alexandria via LeMat-Bulk).

abc: 5.471 5.471 5.471
angles: 90.00 90.00 90.00
Space group Fm-3m (No. 225)
Inequivalent atoms, fractional coordinates:
Zn: 0.000 0.000 0.000
Co: 0.250 0.250 0.250
H: 0.000 0.000 0.500

=====

Which of them is least stable? Easy: run c.

=====

Run a
# ZnCo2H

A relaxed ZnCo2H crystal (PBE, Alexandria via LeMat-Bulk).

abc: 2.6236 2.6236 18.6458
angles: 90.00 90.00 120.00
Space group R-3m (No. 166, hexagonal axes)
Inequivalent atoms, fractional coordinates:
Zn: 0.0000 0.0000 0.0000
Co: 0.0000 0.0000 0.2212
H: 0.0000 0.0000 0.5000

=====

Run b
# ZnCo2H

A relaxed ZnCo2H crystal (PBE, Alexandria via LeMat-Bulk).

abc: 5.469 5.469 5.299
angles: 90.00 90.00 90.00
Space group I-42d (No. 122)
Inequivalent atoms, fractional coordinates:
Zn: 0.000 0.000 0.000
Co: 0.132 0.250 0.625
H: 0.000 0.000 0.500

=====

Which of them is least stable? Easy: run b.